8
Lattice="2.468 1.425 7.823 -2.468 1.425 7.823 0.000 -2.850 7.823" Properties=species:S:1:pos:R:3 comment="PBE Li2PmTmAu4, optimized geometry" e_form_ev_per_atom=-0.6973 pbc="T T T"
Li 0.000 0.000 5.876
Li 0.000 0.000 17.594
Pm 0.000 0.000 11.735
Tm 0.000 0.000 0.000
Au 0.000 0.000 2.922
Au 0.000 0.000 8.655
Au 0.000 0.000 14.815
Au 0.000 0.000 20.548

***

4
Lattice="0.000 3.634 3.634 3.634 0.000 3.634 3.634 3.634 0.000" Properties=species:S:1:pos:R:3 comment="PBE LiPmTmAu, optimized geometry" e_form_ev_per_atom=-0.3834 pbc="T T T"
Li 0.000 0.000 0.000
Pm 5.452 5.452 5.452
Tm 1.817 1.817 1.817
Au 3.634 3.634 3.634

***

8
Lattice="2.472 1.427 8.326 -2.472 1.427 8.326 0.000 -2.854 8.326" Properties=species:S:1:pos:R:3 comment="PBE LiPmTm2Au4, optimized geometry" e_form_ev_per_atom=-0.7642 pbc="T T T"
Li 0.000 0.000 0.000
Pm 0.000 0.000 12.489
Tm 0.000 0.000 6.495
Tm 0.000 0.000 18.483
Au 0.000 0.000 2.798
Au 0.000 0.000 9.437
Au 0.000 0.000 15.540
Au 0.000 0.000 22.179

***

8
Lattice="2.495 1.440 7.800 -2.495 1.440 7.800 0.000 -2.880 7.800" Properties=species:S:1:pos:R:3 comment="PBE Li2PmYAu4, optimized geometry" e_form_ev_per_atom=-0.6913 pbc="T T T"
Li 0.000 0.000 5.854
Li 0.000 0.000 17.546
Pm 0.000 0.000 11.700
Y 0.000 0.000 0.000
Au 0.000 0.000 2.985
Au 0.000 0.000 8.631
Au 0.000 0.000 14.770
Au 0.000 0.000 20.416

***

10
Lattice="4.099 0.000 0.000 0.000 4.099 0.000 0.000 0.000 11.984" Properties=species:S:1:pos:R:3 comment="PBE LiPm2Zn4Au3, optimized geometry" e_form_ev_per_atom=-0.4877 pbc="T T T"
Li 0.000 0.000 0.000
Pm 0.000 2.050 8.961
Pm 2.050 0.000 3.023
Zn 0.000 0.000 5.992
Zn 0.000 2.050 1.653
Zn 2.050 0.000 10.330
Zn 2.050 2.050 5.992
Au 0.000 2.050 4.259
Au 2.050 0.000 7.724
Au 2.050 2.050 0.000

***

8
Lattice="2.263 1.306 8.416 -2.263 1.306 8.416 0.000 -2.613 8.416" Properties=species:S:1:pos:R:3 comment="PBE LiPmZn2Au4, optimized geometry" e_form_ev_per_atom=-0.5233 pbc="T T T"
Li 0.000 0.000 0.000
Pm 0.000 0.000 12.624
Zn 0.000 0.000 6.535
Zn 0.000 0.000 18.712
Au 0.000 0.000 2.584
Au 0.000 0.000 9.342
Au 0.000 0.000 15.906
Au 0.000 0.000 22.664

***

5
Lattice="-1.980 1.980 6.508 1.980 -1.980 6.508 1.980 1.980 -6.508" Properties=species:S:1:pos:R:3 comment="PBE LiPmZnAu2, optimized geometry" e_form_ev_per_atom=-0.6010 pbc="T T T"
Li 0.000 0.000 0.000
Pm 1.980 0.000 3.254
Zn 0.000 0.000 6.508
Au 0.000 1.980 1.813
Au 0.000 1.980 4.696

***

10
Lattice="4.143 0.000 0.000 0.000 4.143 0.000 0.000 0.000 11.902" Properties=species:S:1:pos:R:3 comment="PBE LiPm2Zn3Au4, optimized geometry" e_form_ev_per_atom=-0.5228 pbc="T T T"
Li 0.000 0.000 0.000
Pm 0.000 2.071 8.852
Pm 2.071 0.000 3.050
Zn 0.000 2.071 4.325
Zn 2.071 0.000 7.578
Zn 2.071 2.071 0.000
Au 0.000 0.000 5.951
Au 0.000 2.071 1.740
Au 2.071 0.000 10.162
Au 2.071 2.071 5.951